[1]
A plane-wave DFT calculation with PBE was carried out for crystalline Ba2LiRh at its relaxed geometry.

Unit cell a=4.641 b=4.596 c=6.589 alpha=69.56 beta=90.00 gamma=90.00
Sites, in units of the cell vectors:
Rh  0.500  0.576  0.721
Ba  0.000  0.988  0.898
Ba  0.500  0.262  0.351
Li  0.000  0.673  0.529

Theoretical density   4.85 g/cm3
Energy of formation from the pure elements   -9.33 kJ per mole of atoms
Total magnetization   0.000 μB per cell


[2]
A plane-wave DFT calculation with PBE was carried out for crystalline KMgSc2 at its relaxed geometry.

Unit cell a=6.579 b=6.579 c=3.159 alpha=90.00 beta=90.00 gamma=120.52
Sites, in units of the cell vectors:
K  0.500  0.000  0.500
Mg  0.000  0.500  0.500
Sc  0.000  0.000  0.000
Sc  0.500  0.500  0.000

Theoretical density   2.16 g/cm3
Energy of formation from the pure elements   53.76 kJ per mole of atoms
Total magnetization   1.153 μB per cell


[3]
A plane-wave DFT calculation with PBE was carried out for crystalline KHg3Pd at its relaxed geometry.

Unit cell a=13.777 b=9.148 c=9.148 alpha=93.04 beta=130.30 gamma=49.70
Sites, in units of the cell vectors:
K  0.750  0.033  0.533
K  0.250  0.967  0.467
K  0.750  0.539  0.039
K  0.250  0.461  0.961
Hg  0.338  0.524  0.407
Hg  0.162  0.907  0.024
Hg  0.662  0.476  0.593
Hg  0.838  0.093  0.976
Hg  0.033  0.362  0.898
Hg  0.467  0.398  0.862
Hg  0.967  0.638  0.102
Hg  0.533  0.602  0.138
Hg  0.474  0.094  0.628
Hg  0.026  0.128  0.594
Hg  0.526  0.906  0.372
Hg  0.974  0.872  0.406
Pd  0.154  0.417  0.552
Pd  0.346  0.052  0.917
Pd  0.846  0.583  0.448
Pd  0.654  0.948  0.083

Theoretical density   9.51 g/cm3
Energy of formation from the pure elements   -9.81 kJ per mole of atoms
Total magnetization   0.000 μB per cell
Energy above the most stable polymorph in this dataset   0.1401 eV per atom


[4]
A plane-wave DFT calculation with PBE was carried out for crystalline InAgI2 at its relaxed geometry.

Unit cell a=4.738 b=4.738 c=9.722 alpha=75.55 beta=75.55 gamma=59.98
Sites, in units of the cell vectors:
In  0.733  0.177  0.697
Ag  0.238  0.683  0.185
I  0.133  0.577  0.501
I  0.601  0.047  0.096

Theoretical density   4.37 g/cm3
ΔE_f (raw)   -298 meV per atom
Total magnetization   0.000 μB per cell


[5]
A plane-wave DFT calculation with PBE was carried out for crystalline Sc4CoNi2 at its relaxed geometry.

Unit cell a=4.439 b=4.439 c=7.674 alpha=73.19 beta=73.19 gamma=60.00
Sites, in units of the cell vectors:
Sc  0.876  0.876  0.373
Sc  0.124  0.124  0.627
Sc  0.624  0.624  0.127
Sc  0.376  0.376  0.873
Co  0.000  0.000  0.000
Ni  0.747  0.747  0.760
Ni  0.253  0.253  0.240

Theoretical density   4.79 g/cm3
Energy of formation from the pure elements   -36.00 kJ per mole of atoms
Total magnetization   0.000 μB per cell


[6]
A plane-wave DFT calculation with PBE was carried out for crystalline BaScW at its relaxed geometry.

Unit cell a=4.996 b=4.996 c=4.996 alpha=60.00 beta=60.00 gamma=60.00
Sites, in units of the cell vectors:
Ba  0.750  0.750  0.750
Sc  0.000  0.000  0.000
W  0.500  0.500  0.500

Theoretical density   6.89 g/cm3
Energy of formation from the pure elements   202.88 kJ per mole of atoms
Total magnetization   2.589 μB per cell
Energy above the most stable polymorph in this dataset   1.2479 eV per atom


[7]
A plane-wave DFT calculation with PBE was carried out for crystalline MgTeW at its relaxed geometry.

Unit cell a=7.600 b=7.364 c=3.083 alpha=82.44 beta=73.85 gamma=23.71
Sites, in units of the cell vectors:
Mg  0.014  0.014  0.986
Te  0.318  0.318  0.682
W  0.667  0.667  0.333

Theoretical density   8.83 g/cm3
ΔE_f (raw)   649 meV per atom
Total magnetization   0.000 μB per cell
Energy above the most stable polymorph in this dataset   0.3033 eV per atom


[8]
A plane-wave DFT calculation with PBE was carried out for crystalline CaZr2Pb at its relaxed geometry.

Unit cell a=5.495 b=5.495 c=6.231 alpha=83.12 beta=83.12 gamma=34.37
Sites, in units of the cell vectors:
Pb  0.256  0.256  0.237
Ca  0.507  0.507  0.488
Zr  0.001  0.001  0.979
Zr  0.736  0.736  0.796

Theoretical density   6.77 g/cm3
Energy of formation from the pure elements   6.49 kJ per mole of atoms
Total magnetization   0.000 μB per cell